Computed, not measured: a relaxed structure of CoReOsSeO at the GGA+U level of DFT.

Results
- crystal system = monoclinic
- ΔE to the lowest computed polymorph (kcal/mol of atoms) = 5.741

a b c (Å): 5.8474 2.8675 9.4353
angles (deg): 90.00 106.54 90.00
Element x y z (fractional)
1 O 0.3492 0.0000 0.1234
2 Co 0.2911 0.5000 0.4023
3 O 0.3492 0.5000 0.6234
4 Re 0.0910 0.0000 0.5842
5 Os 0.9427 0.5000 0.7816
6 Se 0.7205 0.5000 0.4236
7 Re 0.0910 0.5000 0.0842
8 Se 0.7205 0.0000 0.9236
9 Co 0.2911 0.0000 0.9023
10 Os 0.9427 0.0000 0.2816